(1)
DFT (GGA-PBEsol) results for crystalline KZn2Co at its relaxed geometry.

a b c (Å): 2.9649 2.9649 7.9675
angles (deg): 90.00 90.00 90.00
Closest atoms and distances in Å follow each position.
Fractional coordinates of all 4 atoms:
Co 0.5000 0.5000 0.0000  8 Zn 2.47
K 0.5000 0.5000 0.5000  4 K 2.96
Zn 0.0000 0.0000 0.8363  4 Co 2.47, 1 Zn 2.61
Zn 0.0000 0.0000 0.1637  4 Co 2.47, 1 Zn 2.61

* formation energy: 0.299 eV/atom
* density of states at the Fermi level: 2.90 states/eV/f.u.
* V: 70.0 Å³/cell

=====

(2)
DFT (GGA-PBEsol) results for crystalline FeNi2Ir at its relaxed geometry.

a b c (Å): 2.5735 4.3742 4.4048
angles (deg): 100.31 106.99 90.00
Closest atoms and distances in Å follow each position.
Fractional coordinates of all 4 atoms:
Ni 0.2493 0.2457 0.4985  6 Ni 2.51-2.57, 3 Fe 2.53-2.54, 3 Ir 2.54-2.55
Ni 0.7507 0.7543 0.5015  6 Ni 2.51-2.57, 3 Fe 2.53-2.54, 3 Ir 2.54-2.55
Ir 0.0000 0.5000 0.0000  4 Fe 2.54, 6 Ni 2.54-2.55, 2 Ir 2.57
Fe 0.5000 0.0000 0.0000  6 Ni 2.53-2.54, 4 Ir 2.54, 2 Fe 2.57

* formation energy: 0.016 eV/atom
* density of states at the Fermi level: 6.11 states/eV/f.u.
* V: 46.6 Å³/cell

=====

(3)
DFT (GGA-PBEsol) results for crystalline ErThRu2 at its relaxed geometry.

a b c (Å): 4.8282 4.8282 4.8282
angles (deg): 60.00 60.00 60.00
Closest atoms and distances in Å follow each position.
Fractional coordinates of all 4 atoms:
Ru 0.2500 0.2500 0.2500  4 Er 2.96, 4 Th 2.96
Ru 0.7500 0.7500 0.7500  4 Th 2.96, 4 Er 2.96
Th 0.5000 0.5000 0.5000  8 Ru 2.96
Er 0.0000 0.0000 0.0000  8 Ru 2.96

* formation energy: -0.383 eV/atom
* density of states at the Fermi level: 2.09 states/eV/f.u.
* V: 79.6 Å³/cell

=====

(4)
DFT (GGA-PBEsol) results for crystalline BaCa2Tl at its relaxed geometry.

a b c (Å): 3.9863 3.9888 9.6544
angles (deg): 89.99 90.00 90.00
Closest atoms and distances in Å follow each position.
Fractional coordinates of all 4 atoms:
Tl 0.0000 0.0000 0.4682  4 Ca 3.25, 4 Ba 3.61
Ca 0.0000 0.9999 0.0286  8 Ca 3.85-3.99, 4 Ba 4.23, 1 Tl 4.24
Ca 0.5000 0.5000 0.3009  4 Tl 3.25
Ba 0.5000 0.4999 0.7023  4 Tl 3.61, 1 Ca 3.88, 4 Ba 3.99

* formation energy: -0.246 eV/atom
* density of states at the Fermi level: 2.44 states/eV/f.u.
* V: 153.5 Å³/cell

=====

(5)
DFT (GGA-PBEsol) results for crystalline AsBr2O at its relaxed geometry.

a b c (Å): 3.3767 3.3767 8.5567
angles (deg): 78.62 78.62 60.00
Closest atoms and distances in Å follow each position.
Fractional coordinates of all 4 atoms:
As 0.0000 0.0000 0.0000  2 Br 2.48
O 0.5000 0.5000 0.5000  6 Br 2.58
Br 0.9007 0.9007 0.2980  1 As 2.48, 3 O 2.58
Br 0.0993 0.0993 0.7020  1 As 2.48, 3 O 2.58

* density of states at the Fermi level: 2.69 states/eV/f.u.
* V: 82.3 Å³/cell
* uncorrected formation energy: 0.706 eV per atom

=====

(6)
DFT (GGA-PBEsol) results for crystalline Ti3NiS6 at its relaxed geometry.

a b c (Å): 5.7603 5.7603 6.4820
angles (deg): 63.62 63.62 60.00
Closest atoms and distances in Å follow each position.
Fractional coordinates of all 10 atoms:
Ti 0.6696 0.6696 0.9912  6 S 2.39-2.44
Ti 0.3304 0.3304 0.0088  6 S 2.39-2.44
Ti 0.0000 0.0000 0.0000  6 S 2.41
Ni 0.5000 0.5000 0.5000  6 S 2.33
S 0.4189 0.0889 0.7378  1 Ni 2.33, 3 Ti 2.39-2.44
S 0.0889 0.7544 0.7378  1 Ni 2.33, 3 Ti 2.39-2.44
S 0.7544 0.4189 0.7378  1 Ni 2.33, 3 Ti 2.39-2.44
S 0.5811 0.9111 0.2622  1 Ni 2.33, 3 Ti 2.39-2.44
S 0.2456 0.5811 0.2622  1 Ni 2.33, 3 Ti 2.39-2.44
S 0.9111 0.2456 0.2622  1 Ni 2.33, 3 Ti 2.39-2.44

* density of states at the Fermi level: 3.34 states/eV/f.u.
* V: 159.9 Å³/cell
* uncorrected formation energy: -1.286 eV per atom

=====

(7)
DFT (GGA-PBEsol) results for crystalline NiAs2SeBr at its relaxed geometry.

a b c (Å): 4.9862 4.9862 4.9436
angles (deg): 90.00 90.00 90.00
Closest atoms and distances in Å follow each position.
Fractional coordinates of all 5 atoms:
Ni 0.5000 0.5000 0.5000  8 As 3.51, 4 Se 3.53
As 0.0000 0.5000 0.0000  2 Br 2.49
As 0.5000 0.0000 0.0000  2 Br 2.49
Se 0.0000 0.0000 0.5000  2 Br 2.47
Br 0.0000 0.0000 0.0000  2 Se 2.47, 4 As 2.49

* density of states at the Fermi level: 7.31 states/eV/f.u.
* V: 122.9 Å³/cell
* uncorrected formation energy: 1.583 eV per atom

=====

(8)
DFT (GGA-PBEsol) results for crystalline LiBe4Rh at its relaxed geometry.

a b c (Å): 4.2796 4.2796 4.2796
angles (deg): 60.00 60.00 60.00
Closest atoms and distances in Å follow each position.
Fractional coordinates of all 6 atoms:
Be 0.3743 0.3743 0.3743  6 Be 2.13-2.15
Be 0.3743 0.3743 0.8771  6 Be 2.13-2.15
Be 0.8771 0.3743 0.3743  6 Be 2.13-2.15
Be 0.3743 0.8771 0.3743  6 Be 2.13-2.15
Rh 0.0000 0.0000 0.0000  12 Be 2.51, 4 Li 2.62
Li 0.7500 0.7500 0.7500  12 Be 2.51, 4 Rh 2.62

* formation energy: -0.267 eV/atom
* density of states at the Fermi level: 2.54 states/eV/f.u.
* V: 55.4 Å³/cell

=====

(9)
DFT (GGA-PBEsol) results for crystalline CoSb2O6 at its relaxed geometry.

a b c (Å): 4.6586 4.6586 9.3765
angles (deg): 90.00 90.00 90.00
Closest atoms and distances in Å follow each position.
Fractional coordinates of all 18 atoms:
Co 0.5000 0.5000 0.5000  6 O 2.01-2.04
Co 0.0000 0.0000 0.0000  6 O 2.01-2.04
Sb 0.5000 0.5000 0.1674  6 O 2.01-2.03
Sb 0.5000 0.5000 0.8326  6 O 2.01-2.03
Sb 0.0000 0.0000 0.6674  6 O 2.01-2.03
Sb 0.0000 0.0000 0.3326  6 O 2.01-2.03
O 0.8046 0.8046 0.5000  1 Co 2.01, 2 Sb 2.03
O 0.1954 0.1954 0.5000  1 Co 2.01, 2 Sb 2.03
O 0.6954 0.3046 0.0000  1 Co 2.01, 2 Sb 2.03
O 0.3046 0.6954 0.0000  1 Co 2.01, 2 Sb 2.03
O 0.8050 0.8050 0.8316  2 Sb 2.01, 1 Co 2.04
O 0.6950 0.3050 0.3316  2 Sb 2.01, 1 Co 2.04
O 0.8050 0.8050 0.1684  2 Sb 2.01, 1 Co 2.04
O 0.6950 0.3050 0.6684  2 Sb 2.01, 1 Co 2.04
O 0.3050 0.6950 0.3316  2 Sb 2.01, 1 Co 2.04
O 0.1950 0.1950 0.8316  2 Sb 2.01, 1 Co 2.04
O 0.1950 0.1950 0.1684  2 Sb 2.01, 1 Co 2.04
O 0.3050 0.6950 0.6684  2 Sb 2.01, 1 Co 2.04

* density of states at the Fermi level: 1.86 states/eV/f.u.
* V: 203.5 Å³/cell
* uncorrected formation energy: -1.287 eV per atom

=====

(10)
DFT (GGA-PBEsol) results for crystalline Be3SO at its relaxed geometry.

a b c (Å): 3.6044 3.6044 3.6044
angles (deg): 90.00 90.00 90.00
Closest atoms and distances in Å follow each position.
Fractional coordinates of all 5 atoms:
Be 0.0000 0.5000 0.0000  2 O 1.80
Be 0.0000 0.0000 0.5000  2 O 1.80
Be 0.5000 0.0000 0.0000  2 O 1.80
S 0.5000 0.5000 0.5000  12 Be 2.55
O 0.0000 0.0000 0.0000  6 Be 1.80

* density of states at the Fermi level: 2.09 states/eV/f.u.
* V: 46.8 Å³/cell
* uncorrected formation energy: -0.208 eV per atom

=====

(11)
DFT (GGA-PBEsol) results for crystalline Ba2ReBr at its relaxed geometry.

a b c (Å): 5.5476 5.5476 5.5476
angles (deg): 60.00 60.00 60.00
Closest atoms and distances in Å follow each position.
Fractional coordinates of all 4 atoms:
Re 0.5000 0.5000 0.5000  8 Ba 3.40
Ba 0.2500 0.2500 0.2500  4 Re 3.40, 4 Br 3.40
Ba 0.7500 0.7500 0.7500  4 Br 3.40, 4 Re 3.40
Br 0.0000 0.0000 0.0000  8 Ba 3.40

* density of states at the Fermi level: 6.45 states/eV/f.u.
* V: 120.7 Å³/cell
* uncorrected formation energy: 0.397 eV per atom

=====

(12)
DFT (GGA-PBEsol) results for crystalline CaSb2H2 at its relaxed geometry.

a b c (Å): 4.3520 4.3520 5.8865
angles (deg): 111.69 111.69 90.00
Closest atoms and distances in Å follow each position.
Fractional coordinates of all 5 atoms:
Sb 0.2500 0.7500 0.5000  4 H 3.04, 4 Sb 3.08, 4 Ca 3.32
Sb 0.7500 0.2500 0.5000  4 H 3.04, 4 Sb 3.08, 4 Ca 3.32
Ca 0.0000 0.0000 0.0000  8 H 3.10, 8 Sb 3.32
H 0.4609 0.4609 0.9217  1 H 0.79
H 0.5391 0.5391 0.0783  1 H 0.79

* density of states at the Fermi level: 1.17 states/eV/f.u.
* V: 95.0 Å³/cell
* DFT total energy: -3.9024 eV per atom

=====

Please write out number 3 again, unchanged.
DFT (GGA-PBEsol) results for crystalline ErThRu2 at its relaxed geometry.

a b c (Å): 4.8282 4.8282 4.8282
angles (deg): 60.00 60.00 60.00
Closest atoms and distances in Å follow each position.
Fractional coordinates of all 4 atoms:
Ru 0.2500 0.2500 0.2500  4 Er 2.96, 4 Th 2.96
Ru 0.7500 0.7500 0.7500  4 Th 2.96, 4 Er 2.96
Th 0.5000 0.5000 0.5000  8 Ru 2.96
Er 0.0000 0.0000 0.0000  8 Ru 2.96

* formation energy: -0.383 eV/atom
* density of states at the Fermi level: 2.09 states/eV/f.u.
* V: 79.6 Å³/cell

=====

The lowest density of states at the Fermi level belongs to which entry?
CaSb2H2

=====

Please write out number 2 again, unchanged.
DFT (GGA-PBEsol) results for crystalline FeNi2Ir at its relaxed geometry.

a b c (Å): 2.5735 4.3742 4.4048
angles (deg): 100.31 106.99 90.00
Closest atoms and distances in Å follow each position.
Fractional coordinates of all 4 atoms:
Ni 0.2493 0.2457 0.4985  6 Ni 2.51-2.57, 3 Fe 2.53-2.54, 3 Ir 2.54-2.55
Ni 0.7507 0.7543 0.5015  6 Ni 2.51-2.57, 3 Fe 2.53-2.54, 3 Ir 2.54-2.55
Ir 0.0000 0.5000 0.0000  4 Fe 2.54, 6 Ni 2.54-2.55, 2 Ir 2.57
Fe 0.5000 0.0000 0.0000  6 Ni 2.53-2.54, 4 Ir 2.54, 2 Fe 2.57

* formation energy: 0.016 eV/atom
* density of states at the Fermi level: 6.11 states/eV/f.u.
* V: 46.6 Å³/cell

=====

V of number 12 (CaSb2H2)?
95.0 Å³/cell